{"formula": "Tl2CuN", "functional": "PBE-GGA", "state": "relaxed", "spacegroup": "I-42d, No. 122", "magnetic_moment_mub_per_cell": 0.00, "relative_energy_mev_per_atom": 0, "cell": [[-6.165, 0.076, -1.149], [-0.881, -4.344, 4.437], [-4.038, 1.004, 4.614]], "species": ["Cu", "Cu", "N", "N", "Tl", "Tl", "Tl", "Tl"], "frac_coords": [[0.750, 0.250, 0.500], [0.000, 0.000, 0.000], [0.500, 0.500, 0.000], [0.250, 0.750, 0.500], [0.579, 0.125, 0.250], [0.171, 0.625, 0.250], [0.375, 0.421, 0.750], [0.875, 0.829, 0.750]]}

{"formula": "TeOsN2O", "functional": "PBE-GGA", "state": "relaxed", "spacegroup": "P4/mmm, No. 123", "energy_ev_per_atom": -6.4807, "magnetic_moment_mub_per_cell": 0.00, "cell": [[3.900, 0.000, 0.000], [0.000, 3.900, 0.000], [0.000, 0.000, 4.116]], "species": ["N", "N", "Te", "Os", "O"], "frac_coords": [[0.000, 0.500, 0.000], [0.500, 0.000, 0.000], [0.500, 0.500, 0.500], [0.000, 0.000, 0.000], [0.000, 0.000, 0.500]]}

{"formula": "K3AlS", "functional": "PBE-GGA", "state": "relaxed", "spacegroup": "Pm-3m, No. 221", "magnetic_moment_mub_per_cell": 1.98, "relative_energy_mev_per_atom": 0, "cell": [[-0.025, -5.868, 1.643], [6.093, 0.004, 0.107], [-0.104, 1.644, 5.867]], "species": ["K", "K", "K", "Al", "S"], "frac_coords": [[0.000, 0.500, 0.000], [0.000, 0.000, 0.500], [0.500, 0.000, 0.000], [0.500, 0.500, 0.500], [0.000, 0.000, 0.000]]}

{"formula": "SN", "functional": "PBE-GGA", "state": "relaxed", "spacegroup": "P2_1/c, No. 14", "energy_ev_per_atom": -5.6886, "magnetic_moment_mub_per_cell": 0.00, "cell": [[-2.532, -1.429, -3.459], [0.870, -4.449, 1.201], [-5.775, -2.656, 5.325]], "species": ["S", "S", "S", "S", "N", "N", "N", "N"], "frac_coords": [[0.712, 0.150, 0.157], [0.288, 0.850, 0.843], [0.212, 0.850, 0.343], [0.788, 0.150, 0.657], [0.562, 0.888, 0.318], [0.938, 0.888, 0.818], [0.438, 0.112, 0.682], [0.062, 0.112, 0.182]]}

{"formula": "SrLaTl", "functional": "PBE-GGA", "state": "relaxed", "spacegroup": "P-1, No. 2", "magnetic_moment_mub_per_cell": 0.95, "formation_energy_mev_per_atom": -200, "cell": [[-1.787, -5.076, -6.384], [-1.147, -4.282, 5.913], [-3.577, 1.057, 1.420]], "species": ["Sr", "Sr", "La", "La", "Tl", "Tl"], "frac_coords": [[0.801, 0.750, 0.563], [0.668, 0.239, 0.256], [0.348, 0.821, 0.803], [0.121, 0.167, 0.016], [0.053, 0.545, 0.293], [0.415, 0.444, 0.526]]}

{"formula": "HPd2Rh", "functional": "PBE-GGA", "state": "relaxed", "spacegroup": "I-42d, No. 122", "magnetic_moment_mub_per_cell": 0.00, "relative_energy_mev_per_atom": 169, "cell": [[6.040, 0.000, 0.000], [0.000, 6.040, 0.000], [3.020, 3.020, 2.720]], "species": ["Pd", "Pd", "Pd", "Pd", "Rh", "Rh", "H", "H"], "frac_coords": [[0.522, 0.125, 0.250], [0.375, 0.478, 0.750], [0.875, 0.772, 0.750], [0.228, 0.625, 0.250], [0.000, 0.000, 0.000], [0.750, 0.250, 0.500], [0.500, 0.500, 0.000], [0.250, 0.750, 0.500]]}